# BaHg, optimized geometry, DFT PBEsol
# Magnetization in μB/f.u.: 0.0
# N(E_F) in states/eV/f.u.: 1.55
# VASP energy in Ry per atom: -0.14061
data_BaHg
_chemical_formula_sum 'Ba1 Hg1'
_symmetry_space_group_name_H-M 'P m -3 m'
_symmetry_Int_Tables_number 221
_symmetry_space_group_name_Hall '-P 4 2 3'
_cell_length_a 4.0984
_cell_length_b 4.0984
_cell_length_c 4.0984
_cell_angle_alpha 90.00
_cell_angle_beta 90.00
_cell_angle_gamma 90.00
loop_
_atom_site_label
_atom_site_type_symbol
_atom_site_fract_x
_atom_site_fract_y
_atom_site_fract_z
_atom_site_occupancy
Ba1 Ba 0.0000 0.0000 0.0000 1
Hg1 Hg 0.5000 0.5000 0.5000 1